1.
VASP calculation (PBE) on CsAs2Se2 after structural relaxation.

Cell: 6.085 6.085 6.085 Å, 126.42 126.42 79.19°
Fractional coordinates of all 5 atoms:
Cs 0.000 0.000 0.000
As 0.358 0.358 0.000
As 0.642 0.642 0.000
Se 0.250 0.750 0.500
Se 0.750 0.250 0.500

Computed properties:
* crystal system: tetragonal
* SG: I4/mmm
* ΔE to the lowest computed polymorph: 1.30 eV/f.u.
* size of the total moment: 0.0 μB per formula unit
* Fermi-level density of states: 1.9 states/eV/cell

2.
VASP calculation (PBE) on KPAuO2 after structural relaxation.

Cell: 4.366 4.366 7.082 Å, 90.00 90.00 90.00°
Fractional coordinates of all 5 atoms:
K 0.000 0.000 0.000
P 0.000 0.000 0.500
Au 0.500 0.500 0.500
O 0.000 0.500 0.000
O 0.500 0.000 0.000

Computed properties:
* crystal system: tetragonal
* SG: P4/mmm
* ΔE to the lowest computed polymorph: 4.83 eV/f.u.
* size of the total moment: 4.3 μB per formula unit
* Fermi-level density of states: 3.2 states/eV/cell

Formation energy without anion corrections for the records above, in order: -0.1517, 1.2584 eV per atom